VASP calculation (GGA-PBE) on an optimized crystal structure of HfScCu6.

Results
Uncorrected energy   -4.996 eV/atom
Calculated volume   14.1 Å³/atom
Size of the total moment   0.0 μB per formula unit

Structure (CIF):
```
data_HfScCu6
_chemical_formula_sum 'Hf1 Sc1 Cu6'
_space_group_name_H-M_alt 'P m m 2'
_space_group_IT_number 25
_space_group_name_Hall 'P 2 -2'
_cell_length_a 4.443
_cell_length_b 5.526
_cell_length_c 4.601
_cell_angle_alpha 90.00
_cell_angle_beta 90.00
_cell_angle_gamma 90.00
loop_
_atom_site_label
_atom_site_fract_x
_atom_site_fract_y
_atom_site_fract_z
_atom_site_occupancy
Hf1 0.000 0.000 0.000 1
Sc1 0.500 0.500 0.698 1
Cu1 0.000 0.256 0.505 1
Cu2 0.000 0.500 0.039 1
Cu3 0.500 0.000 0.662 1
Cu4 0.500 0.241 0.191 1
```

***

VASP calculation (GGA-PBE) on an optimized crystal structure of PaSiTc.

Results
Relative energy among the computed polymorphs   0 meV/atom
Calculated volume   18.1 Å³/atom
Size of the total moment   0.0 μB per formula unit

Structure (CIF):
```
data_PaSiTc
_chemical_formula_sum 'Pa4 Si4 Tc4'
_space_group_name_H-M_alt 'P n m a'
_space_group_IT_number 62
_space_group_name_Hall '-P 2ac 2n'
_cell_length_a 7.285
_cell_length_b 4.360
_cell_length_c 6.820
_cell_angle_alpha 90.00
_cell_angle_beta 90.00
_cell_angle_gamma 90.00
loop_
_atom_site_label
_atom_site_fract_x
_atom_site_fract_y
_atom_site_fract_z
_atom_site_occupancy
Pa1 0.018 0.250 0.170 1
Si1 0.198 0.250 0.612 1
Tc1 0.142 0.750 0.438 1
```

***

VASP calculation (GGA-PBE) on an optimized crystal structure of Zr2Ag2Pb.

Results
Relative energy among the computed polymorphs   0 meV/atom
Calculated volume   23.8 Å³/atom
Size of the total moment   0.0 μB per formula unit

Structure (CIF):
```
data_Zr2Ag2Pb
_chemical_formula_sum 'Zr4 Ag4 Pb2'
_space_group_name_H-M_alt 'I 4/m m m'
_space_group_IT_number 139
_space_group_name_Hall '-I 4 2'
_cell_length_a 4.417
_cell_length_b 4.417
_cell_length_c 12.216
_cell_angle_alpha 90.00
_cell_angle_beta 90.00
_cell_angle_gamma 90.00
loop_
_atom_site_label
_atom_site_fract_x
_atom_site_fract_y
_atom_site_fract_z
_atom_site_occupancy
Zr1 0.000 0.500 0.250 1
Ag1 0.000 0.000 0.105 1
Pb1 0.000 0.000 0.500 1
```

***

VASP calculation (GGA-PBE) on an optimized crystal structure of NaGeAuSeS2.

Results
Uncorrected energy   -3.811 eV/atom
Calculated volume   22.3 Å³/atom

Structure (CIF):
```
data_NaGeAuSeS2
_chemical_formula_sum 'Na4 Ge4 Au4 Se4 S8'
_space_group_name_H-M_alt 'C m c m'
_space_group_IT_number 63
_space_group_name_Hall '-C 2c 2'
_cell_length_a 3.539
_cell_length_b 14.904
_cell_length_c 10.128
_cell_angle_alpha 90.00
_cell_angle_beta 90.00
_cell_angle_gamma 90.00
loop_
_atom_site_label
_atom_site_fract_x
_atom_site_fract_y
_atom_site_fract_z
_atom_site_occupancy
Na1 0.000 0.210 0.250 1
Ge1 0.000 0.500 0.000 1
Au1 0.000 0.127 0.750 1
Se1 0.000 0.450 0.750 1
S1 0.000 0.119 0.522 1
```

***

VASP calculation (GGA-PBE) on an optimized crystal structure of Rb2Pt3O4.

Results
Uncorrected energy   -5.125 eV/atom
Calculated volume   18.7 Å³/atom
Size of the total moment   0.0 μB per formula unit

Structure (CIF):
```
data_Rb2Pt3O4
_chemical_formula_sum 'Rb8 Pt12 O16'
_space_group_name_H-M_alt 'F m m m'
_space_group_IT_number 69
_space_group_name_Hall '-F 2 2'
_cell_length_a 6.015
_cell_length_b 9.865
_cell_length_c 11.363
_cell_angle_alpha 90.00
_cell_angle_beta 90.00
_cell_angle_gamma 90.00
loop_
_atom_site_label
_atom_site_fract_x
_atom_site_fract_y
_atom_site_fract_z
_atom_site_occupancy
Rb1 0.000 0.000 0.176 1
Pt1 0.000 0.000 0.500 1
Pt2 0.250 0.250 0.000 1
O1 0.000 0.171 0.393 1
```

***

VASP calculation (GGA-PBE) on an optimized crystal structure of NaCuPdSe3.

Results
Relative energy among the computed polymorphs   14 meV/atom
Calculated volume   20.2 Å³/atom

Structure (CIF):
```
data_NaCuPdSe3
_chemical_formula_sum 'Na4 Cu4 Pd4 Se12'
_space_group_name_H-M_alt 'P n m a'
_space_group_IT_number 62
_space_group_name_Hall '-P 2ac 2n'
_cell_length_a 10.243
_cell_length_b 3.872
_cell_length_c 12.212
_cell_angle_alpha 90.00
_cell_angle_beta 90.00
_cell_angle_gamma 90.00
loop_
_atom_site_label
_atom_site_fract_x
_atom_site_fract_y
_atom_site_fract_z
_atom_site_occupancy
Na1 0.250 0.250 0.002 1
Cu1 0.239 0.250 0.307 1
Pd1 0.012 0.250 0.749 1
Se1 0.024 0.250 0.387 1
Se2 0.045 0.750 0.885 1
Se3 0.238 0.750 0.188 1
```

***

VASP calculation (GGA-PBE) on an optimized crystal structure of Lu4SbC2Se.

Results
Uncorrected energy   -6.469 eV/atom
Calculated volume   19.7 Å³/atom
Size of the total moment   0.0 μB per formula unit

Structure (CIF):
```
data_Lu4SbC2Se
_chemical_formula_sum 'Lu4 Sb1 C2 Se1'
_space_group_name_H-M_alt 'P -6 m 2'
_space_group_IT_number 187
_space_group_name_Hall 'P -6 2'
_cell_length_a 3.6286
_cell_length_b 3.6286
_cell_length_c 13.7906
_cell_angle_alpha 90.00
_cell_angle_beta 90.00
_cell_angle_gamma 120.00
loop_
_atom_site_label
_atom_site_fract_x
_atom_site_fract_y
_atom_site_fract_z
_atom_site_occupancy
Lu1 0.0000 0.0000 0.1418 1
Lu2 0.6667 0.3333 0.3266 1
Sb1 0.0000 0.0000 0.5000 1
C1 0.3333 0.6667 0.2360 1
Se1 0.6667 0.3333 0.0000 1
```

***

VASP calculation (GGA-PBE) on an optimized crystal structure of Nd2Zn3Ge5.

Results
Uncorrected energy   -3.947 eV/atom
Calculated volume   20.5 Å³/atom
Size of the total moment   0.0 μB per formula unit

Structure (CIF):
```
data_Nd2Zn3Ge5
_chemical_formula_sum 'Nd8 Zn12 Ge20'
_space_group_name_H-M_alt 'C 1 2/c 1'
_space_group_IT_number 15
_space_group_name_Hall '-C 2yc'
_cell_length_a 11.539
_cell_length_b 12.256
_cell_length_c 6.381
_cell_angle_alpha 90.00
_cell_angle_beta 114.48
_cell_angle_gamma 90.00
loop_
_atom_site_label
_atom_site_fract_x
_atom_site_fract_y
_atom_site_fract_z
_atom_site_occupancy
Nd1 0.232 0.126 0.210 1
Zn1 0.000 0.494 0.750 1
Zn2 0.110 0.139 0.592 1
Ge1 0.000 0.002 0.750 1
Ge2 0.000 0.269 0.250 1
Ge3 0.000 0.282 0.750 1
Ge4 0.161 0.390 0.170 1
```